No. 1
First-principles (PBE) data for a relaxed structure of Cs4K3Hg4, as listed in the Alexandria database.

Cell: 5.2586 12.0836 19.9598 Å, 90.00 90.00 90.00°
Space group Immm (No. 71)
Unique sites:
1 Cs 0.0000 0.1935 0.1583
2 K 0.0000 0.0000 0.3906
3 K 0.0000 0.5000 0.5000
4 Hg 0.0000 0.3743 0.0000
5 Hg 0.0000 0.5000 0.2477

## Properties
E_form   -1.68 eV/f.u.
Uncorrected energy   -0.87 eV per atom



No. 2
First-principles (PBE) data for a relaxed structure of CsKHg3, as listed in the Alexandria database.

Cell: 4.7454 32.7989 5.3249 Å, 90.00 90.00 90.00°
Space group Cmcm (No. 63)
Unique sites:
1 Cs 0.0000 0.2038 0.2500
2 K 0.0000 0.0667 0.7500
3 Hg 0.0000 0.3367 0.2500
4 Hg 0.0000 0.3855 0.7500
5 Hg 0.0000 0.4774 0.7500

## Properties
Relative energy among the computed polymorphs   0.0 meV/atom
E_form   -1.22 eV/f.u.
Uncorrected energy   -0.82 eV per atom



No. 3
First-principles (PBE) data for a relaxed structure of CsKHg3, as listed in the Alexandria database.

Cell: 6.7642 6.7642 6.7642 Å, 90.00 90.00 90.00°
Space group Pm-3m (No. 221)
Unique sites:
1 Cs 0.0000 0.0000 0.0000
2 K 0.5000 0.5000 0.5000
3 Hg 0.0000 0.0000 0.5000

## Properties
Relative energy among the computed polymorphs   292.4 meV/atom
E_form   0.24 eV/f.u.
Uncorrected energy   -0.52 eV per atom



No. 4
First-principles (PBE) data for a relaxed structure of Cs3KHg3, as listed in the Alexandria database.

Cell: 12.8997 12.8997 7.9439 Å, 90.00 90.00 120.00°
Space group R3m (No. 160, hexagonal axes)
Unique sites:
1 Cs 0.1900 0.3799 0.0000
2 K 0.0000 0.0000 0.7537
3 Hg 0.1723 0.3447 0.5161

## Properties
Relative energy among the computed polymorphs   0.0 meV/atom
E_form   -1.20 eV/f.u.
Uncorrected energy   -0.82 eV per atom



No. 5
First-principles (PBE) data for a relaxed structure of Cs2K9Hg3, as listed in the Alexandria database.

Cell: 20.7647 11.0091 16.0486 Å, 90.00 117.51 90.00°
Space group C2/c (No. 15)
Unique sites:
1 Cs 0.1981 0.0720 0.2519
2 K 0.0000 0.3262 0.2500
3 K 0.0572 0.0225 0.9191
4 K 0.0872 0.3851 0.0307
5 K 0.1059 0.2973 0.7544
6 K 0.2239 0.4171 0.4399
7 Hg 0.1075 0.2706 0.5311
8 Hg 0.2500 0.2500 0.0000

## Properties
E_form   -1.27 eV/f.u.
Uncorrected energy   -0.98 eV per atom



No. 6
First-principles (PBE) data for a relaxed structure of Cs2K6Hg3, as listed in the Alexandria database.

Cell: 11.1193 11.1193 6.1837 Å, 90.00 90.00 120.00°
Space group P-62m (No. 189)
Unique sites:
1 Cs 0.3333 0.6667 0.0000
2 K 0.0000 0.3112 0.5000
3 K 0.0000 0.7784 0.0000
4 Hg 0.0000 0.6311 0.5000

## Properties
E_form   -0.94 eV/f.u.
Uncorrected energy   -0.92 eV per atom